Computed, not measured: a geometry-optimized CdCSeBr2 structure at the PBE-GGA level of DFT.

Output
Its magnetization is 0.001 μB per atom. For the final energy, the calculation gives -9.70 eV for the cell shown. The excess energy over the best structure of this formula in the dataset is 563 meV per atom. The value obtained for the density of states at the Fermi level is 0.571 states/eV/atom.

Lattice parameters (Å, degrees): 5.437 5.437 5.531 90.00 90.00 90.00
Each line ends with the local moment (μB).
Element x y z (fractional)
C  0.500  0.500  0.500  0.86
Se  0.000  0.000  0.500  -0.88
Br  0.000  0.500  0.000  -0.10
Br  0.500  0.000  0.000  -0.10
Cd  0.000  0.000  0.000  0.00



Computed, not measured: a geometry-optimized CdCSe2Br structure at the PBE-GGA level of DFT.

Output
Its magnetization is 0.000 μB per atom. For the final energy, the calculation gives -14.50 eV for the cell shown. The excess energy over the best structure of this formula in the dataset is 0 meV per atom. The value obtained for the density of states at the Fermi level is 0.535 states/eV/atom.

Lattice parameters (Å, degrees): 4.210 4.210 7.536 90.00 90.00 90.00
Element x y z (fractional)
C  0.000  0.000  0.000
Se  0.000  0.500  0.000
Se  0.500  0.000  0.000
Br  0.000  0.000  0.500
Cd  0.500  0.500  0.500



Computed, not measured: a geometry-optimized Ce4C4Br3 structure at the PBE-GGA level of DFT.

Output
Its magnetization is 0.154 μB per atom. For the final energy, the calculation gives -151.84 eV for the cell shown. The value obtained for the density of states at the Fermi level is 1.327 states/eV/atom.

Lattice parameters (Å, degrees): 4.150 11.021 11.088 103.04 90.14 94.44
Each line ends with the local moment (μB).
Element x y z (fractional)
Ce  0.620  0.167  0.020  0.26
Ce  0.244  0.360  0.832  0.57
Ce  0.380  0.833  0.980  0.26
Ce  0.625  0.171  0.563  0.48
Ce  0.985  0.979  0.239  0.15
Ce  0.015  0.021  0.761  0.15
Ce  0.756  0.640  0.168  0.57
Ce  0.375  0.829  0.437  0.48
C  0.507  0.849  0.213  -0.01
C  0.864  0.959  0.994  0.00
C  0.238  0.763  0.192  -0.02
C  0.136  0.041  0.006  0.00
C  0.134  0.038  0.518  0.01
C  0.866  0.962  0.482  0.01
C  0.762  0.237  0.808  -0.02
C  0.493  0.151  0.787  -0.01
Br  0.190  0.386  0.578  -0.01
Br  0.201  0.404  0.113  -0.01
Br  0.799  0.596  0.887  -0.01
Br  0.581  0.203  0.298  0.00
Br  0.419  0.797  0.702  0.00
Br  0.810  0.614  0.422  -0.01



Computed, not measured: a geometry-optimized Ce3C2Br2 structure at the PBE-GGA level of DFT.

Output
Its magnetization is 0.251 μB per atom. For the final energy, the calculation gives -45.02 eV for the cell shown. The value obtained for the density of states at the Fermi level is 1.677 states/eV/atom.

Lattice parameters (Å, degrees): 3.650 6.427 7.686 99.27 90.03 106.49
Each line ends with the local moment (μB).
Element x y z (fractional)
Ce  0.000  0.000  0.000  0.51
Ce  0.778  0.555  0.201  0.56
Ce  0.222  0.445  0.799  0.56
C  0.640  0.279  0.951  -0.04
C  0.360  0.721  0.049  -0.04
Br  0.880  0.762  0.623  -0.01
Br  0.120  0.238  0.377  -0.01



What did the second record say?
Computed, not measured: a geometry-optimized CdCSe2Br structure at the PBE-GGA level of DFT.

Output
Its magnetization is 0.000 μB per atom. For the final energy, the calculation gives -14.50 eV for the cell shown. The excess energy over the best structure of this formula in the dataset is 0 meV per atom. The value obtained for the density of states at the Fermi level is 0.535 states/eV/atom.

Lattice parameters (Å, degrees): 4.210 4.210 7.536 90.00 90.00 90.00
Element x y z (fractional)
C  0.000  0.000  0.000
Se  0.000  0.500  0.000
Se  0.500  0.000  0.000
Br  0.000  0.000  0.500
Cd  0.500  0.500  0.500



Q: Among the records above, which one has the lowest final energy?
A: Ce4C4Br3



Q: Which value of final energy does entry 3 give?
A: -151.84 eV for the cell shown